Cs2NaPbBr6: optimized geometry, PBE.

Cell: 8.204 8.218 11.608 Å, 90.00 90.00 90.00°
Fractional positions:
Cs 0.500 0.750 0.250
Cs 0.000 0.250 0.750
Cs 0.500 0.750 0.750
Cs 0.000 0.250 0.250
Na 0.000 0.750 0.500
Na 0.500 0.250 0.000
Pb 0.500 0.250 0.500
Pb 0.000 0.750 0.000
Br 0.500 0.249 0.252
Br 0.500 0.249 0.748
Br 0.000 0.751 0.248
Br 0.000 0.751 0.752
Br 0.252 0.002 0.500
Br 0.748 0.002 0.500
Br 0.252 0.498 0.500
Br 0.748 0.498 0.500
Br 0.752 0.502 0.000
Br 0.248 0.502 0.000
Br 0.248 0.998 0.000
Br 0.752 0.998 0.000

V: 782.68 Å³ per cell
raw formation energy: -1.29 eV/atom
total moment: 0.00 μB/f.u.